[1]
Material: Ho2TmGe4Pd4
Method: DFT, PBE-GGA
State: relaxed

Unit cell a=8.0972 b=8.0972 c=8.0972 alpha=150.16 beta=128.10 gamma=61.02
Element x y z (fractional)
Ge 0.2179 0.2179 0.0000
Ge 0.7821 0.7821 0.0000
Ge 0.6883 0.5000 0.1883
Ge 0.3117 0.5000 0.8117
Ho 0.6259 0.1259 0.5000
Ho 0.3741 0.8741 0.5000
Pd 0.6242 0.3251 0.2990
Pd 0.9739 0.6749 0.2990
Pd 0.3758 0.6749 0.7010
Pd 0.0261 0.3251 0.7010
Tm 0.0000 0.0000 0.0000

- Symmetry: Immm
- Electronic total energy: -5.697 eV/atom
- Theoretical density: 9.789 Mg/m³



[2]
Material: PmHoGe
Method: DFT, PBE-GGA
State: relaxed

Unit cell a=4.9487 b=4.9487 c=4.9487 alpha=60.00 beta=60.00 gamma=60.00
Element x y z (fractional)
Ge 0.0000 0.0000 0.0000
Ho 0.2500 0.2500 0.2500
Pm 0.7500 0.7500 0.7500

- Symmetry: F-43m
- Electronic total energy: -5.180 eV/atom
- Theoretical density: 7.413 Mg/m³



[3]
Material: PrHoGe2
Method: DFT, PBE-GGA
State: relaxed

Unit cell a=10.2538 b=10.2538 c=4.5224 alpha=90.00 beta=90.00 gamma=155.34
Element x y z (fractional)
Ge 0.1526 0.8474 0.2500
Ge 0.0283 0.9717 0.2500
Ge 0.9717 0.0283 0.7500
Ge 0.8474 0.1526 0.7500
Ho 0.7528 0.2472 0.2500
Ho 0.2472 0.7528 0.7500
Pr 0.4091 0.5909 0.2500
Pr 0.5909 0.4091 0.7500

- Symmetry: Cmcm
- Electronic total energy: -5.266 eV/atom
- Theoretical density: 7.551 Mg/m³



> Which of these has the lowest theoretical density?

PmHoGe